DFT (PBE-GGA) results for a relaxed AcEr3H crystal.

Cell: 5.085 5.085 5.085 Å, 90.00 90.00 90.00°
Positions (direct):
H1 0.000 0.000 0.000
Ac1 0.500 0.500 0.500
Er1 0.000 0.500 0.000
Er2 0.000 0.000 0.500
Er3 0.500 0.000 0.000

Computed properties:
density of states at the Fermi level = 4.49 states/eV/f.u.
space-group type = Pm-3m, No. 221
E = -4.34 eV/atom

***

DFT (PBE-GGA) results for a relaxed LiTl4Pd crystal.

Cell: 6.818 6.818 7.866 Å, 115.68 115.68 90.00°
Positions (direct):
Li1 0.500 0.500 0.000
Li2 0.000 0.000 0.000
Tl1 0.461 0.961 0.262
Tl2 0.961 0.801 0.262
Tl3 0.301 0.461 0.262
Tl4 0.699 0.539 0.738
Tl5 0.039 0.199 0.738
Tl6 0.539 0.039 0.738
Tl7 0.199 0.699 0.738
Tl8 0.801 0.301 0.262
Pd1 0.250 0.250 0.500
Pd2 0.750 0.750 0.500

Computed properties:
energy of formation from the pure elements = -91 kJ/mol of formula units
density of states at the Fermi level = 1.82 states/eV/f.u.
space-group type = I4/mcm, No. 140
E = -2.92 eV/atom

***

DFT (PBE-GGA) results for a relaxed LuNbReOs crystal.

Cell: 4.609 4.609 4.609 Å, 60.00 60.00 60.00°
Positions (direct):
Re1 0.000 0.000 0.000
Nb1 0.250 0.250 0.250
Lu1 0.750 0.750 0.750
Os1 0.500 0.500 0.500

Computed properties:
energy of formation from the pure elements = -53 kJ/mol of formula units
density of states at the Fermi level = 3.67 states/eV/f.u.
space-group type = F-43m, No. 216
E = -9.70 eV/atom

***

DFT (PBE-GGA) results for a relaxed K2PdO3 crystal.

Cell: 6.463 6.463 7.668 Å, 90.00 90.00 120.00°
Positions (direct):
K1 0.000 0.000 0.000
K2 0.667 0.333 0.250
K3 0.000 0.000 0.500
K4 0.333 0.667 0.750
Pd1 0.333 0.667 0.250
Pd2 0.667 0.333 0.750
O1 0.170 0.340 0.250
O2 0.660 0.830 0.250
O3 0.170 0.830 0.250
O4 0.830 0.660 0.750
O5 0.830 0.170 0.750
O6 0.340 0.170 0.750

Computed properties:
space-group type = P6_3/mmc, No. 194
E = -4.51 eV/atom

***

DFT (PBE-GGA) results for a relaxed AcMg11Cd crystal.

Cell: 6.019 7.849 7.885 Å, 81.78 67.56 67.99°
Positions (direct):
Ac1 0.000 0.000 0.000
Mg1 0.285 0.219 0.216
Mg2 0.715 0.781 0.784
Mg3 0.499 0.781 0.216
Mg4 0.501 0.219 0.784
Mg5 0.353 0.645 0.648
Mg6 0.647 0.355 0.352
Mg7 0.999 0.355 0.648
Mg8 0.001 0.645 0.352
Mg9 0.000 0.500 0.000
Mg10 0.500 0.000 0.500
Mg11 0.000 0.000 0.500
Cd1 0.500 0.500 0.000

Computed properties:
energy of formation from the pure elements = -115 kJ/mol of formula units
density of states at the Fermi level = 5.64 states/eV/f.u.
space-group type = C2/m, No. 12
E = -1.83 eV/atom